## P
A relaxed Pu2MgMn crystal, computed with GGA-PBE.

```
Pu2MgMn
1.0
4.548 0.000 0.000
0.000 4.354 0.000
0.000 0.000 4.354
Mn Pu Mg
1 2 1
direct
0.500 0.000 0.000
0.000 0.500 0.000
0.000 0.000 0.500
0.500 0.500 0.500
```

Results
- DOS(E_F): 2.31 states/eV/atom

## Q
A relaxed Pu2MgMn crystal, computed with GGA-PBE.

```
Pu2MgMn
1.0
-2.346 -0.436 2.049
-1.827 -1.080 -2.321
2.889 -8.233 1.555
Mg Mn Pu
1 1 2
direct
0.500 0.500 0.500
0.500 0.500 0.000
0.000 0.000 0.205
0.000 0.000 0.795
```

Results
- DOS(E_F): 2.71 states/eV/atom

The least stable of them is P.

## P
A relaxed Rb2Mg2Mn crystal, computed with GGA-PBE.

```
Rb2Mg2Mn
1.0
-9.736 0.655 5.274
0.256 -10.937 1.832
1.704 0.555 3.077
Mg Mn Rb
4 2 4
direct
0.098 0.598 0.500
0.402 0.098 0.500
0.902 0.402 0.500
0.598 0.902 0.500
0.000 0.000 0.000
0.500 0.500 0.000
0.694 0.194 0.000
0.306 0.806 0.000
0.806 0.694 0.000
0.194 0.306 0.000
```

Results
- DOS(E_F): 1.41 states/eV/atom

## Q
A relaxed Rb2Mg2Mn crystal, computed with GGA-PBE.

```
Rb2Mg2Mn
1.0
-3.400 2.046 1.542
-0.297 -2.859 3.140
5.313 6.348 9.170
Rb Mg Mn
2 2 1
direct
0.395 0.395 0.210
0.605 0.605 0.790
0.250 0.750 0.500
0.750 0.250 0.500
0.000 0.000 0.000
```

Results
- DOS(E_F): 1.11 states/eV/atom

The least stable of them is P.

## P
A relaxed RbMg2Mn crystal, computed with GGA-PBE.

```
RbMg2Mn
1.0
-4.500 -0.116 3.120
-4.498 2.695 -1.581
-4.416 -2.781 -1.664
Mn Mg Rb
1 2 1
direct
0.000 0.000 0.000
0.250 0.250 0.250
0.750 0.750 0.750
0.500 0.500 0.500
```

Results
- DOS(E_F): 0.74 states/eV/atom

## Q
A relaxed RbMg2Mn crystal, computed with GGA-PBE.

```
RbMg2Mn
1.0
5.863 0.000 0.000
0.000 5.863 0.000
2.932 2.932 9.697
Mg Rb Mn
4 2 2
direct
0.375 0.625 0.750
0.375 0.625 0.250
0.375 0.125 0.250
0.875 0.625 0.750
0.750 0.250 0.500
0.000 0.000 0.000
0.250 0.750 0.500
0.500 0.500 0.000
```

Results
- DOS(E_F): 0.87 states/eV/atom

The least stable of them is Q.

## P
A relaxed Mg2MnRe crystal, computed with GGA-PBE.

```
Mg2MnRe
1.0
-1.718 -3.898 1.513
-3.577 -1.844 -2.059
0.491 -3.781 -2.430
Re Mg Mn
1 2 1
direct
0.500 0.500 0.500
0.750 0.750 0.750
0.250 0.250 0.250
0.000 0.000 0.000
```

Results
- DOS(E_F): 0.81 states/eV/atom

## Q
A relaxed Mg2MnRe crystal, computed with GGA-PBE.

```
Mg2MnRe
1.0
2.678 0.000 0.000
0.000 4.409 0.000
0.000 0.000 5.459
Mg Re Mn
2 1 1
direct
0.000 0.000 0.504
0.000 0.000 0.996
0.500 0.500 0.750
0.500 0.500 0.250
```

Results
- DOS(E_F): 0.70 states/eV/atom

The least stable of them is P.

## P
A relaxed Mg2MnRe crystal, computed with GGA-PBE.

```
Mg2MnRe
1.0
2.982 0.000 0.000
0.000 2.982 0.000
0.000 0.000 7.245
Mg Mn Re
2 1 1
direct
0.500 0.500 0.290
0.000 0.000 0.971
0.000 0.000 0.532
0.500 0.500 0.708
```

Results
- DOS(E_F): 0.32 states/eV/atom

## Q
A relaxed Mg2MnRe crystal, computed with GGA-PBE.

```
Mg2MnRe
1.0
-1.587 2.471 3.700
-3.721 1.093 2.698
0.790 -3.770 3.502
Mn Mg Re
1 2 1
direct
0.503 0.503 0.464
0.754 0.754 0.753
0.995 0.995 0.007
0.247 0.247 0.277
```

Results
- DOS(E_F): 0.75 states/eV/atom

## R
A relaxed Mg2MnRe crystal, computed with GGA-PBE.

```
Mg2MnRe
1.0
4.589 0.000 0.000
0.000 2.690 -0.069
0.000 1.075 5.123
Mg Re Mn
2 1 1
direct
0.000 0.021 0.997
0.000 0.479 0.503
0.500 0.750 0.750
0.500 0.250 0.250
```

Results
- DOS(E_F): 0.83 states/eV/atom

The least stable of them is R.

## P
A relaxed Mg2MnRe crystal, computed with GGA-PBE.

```
Mg2MnRe
1.0
5.239 0.007 -0.020
2.227 4.742 0.020
-3.174 -3.253 2.605
Mn Mg Re
1 2 1
direct
0.474 0.474 0.000
0.733 0.233 0.500
0.010 0.010 0.000
0.283 0.783 0.500
```

Results
- DOS(E_F): 0.62 states/eV/atom

## Q
A relaxed Mg2MnRe crystal, computed with GGA-PBE.

```
Mg2MnRe
1.0
5.055 -0.011 0.000
2.071 4.612 0.000
-3.563 -2.300 2.751
Mg Mn Re
2 1 1
direct
0.000 0.000 0.000
0.500 0.500 0.000
0.250 0.750 0.500
0.750 0.250 0.500
```

Results
- DOS(E_F): 0.74 states/eV/atom

The least stable of them is Q.